A plane-wave DFT calculation with PBE-GGA was carried out for a geometry-optimized BaNbAg structure.

a = 3.527 Å, b = 5.455 Å, c = 8.751 Å
α = 94.06°, β = 101.57°, γ = 90.01°
Element x y z (fractional)
Ba 0.000 0.000 0.000
Ba 0.156 0.533 0.309
Nb 0.437 0.487 0.874
Nb 0.831 0.444 0.661
Ag 0.333 0.940 0.665
Ag 0.705 0.041 0.408

Computed properties:
**ΔE to the lowest computed polymorph**: 0.593 eV/f.u.
**DFT formation energy**: 0.443 eV/atom
**Space-group type**: No. 1
**Calculated total energy**: -27.03 eV per cell